1.
VASP calculation (PBE-GGA) on Mg2TaPb after structural relaxation.

a b c (Å): 4.199 4.199 9.344
angles (deg): 90.00 90.00 90.00
Space group I-4m2 (No. 119)
Inequivalent atoms, fractional coordinates:
Mg 0.000 0.000 0.000 [2 per cell]
Mg 0.000 0.500 0.250 [2 per cell]
Ta 0.000 0.000 0.500 [2 per cell]
Pb 0.000 0.500 0.750 [2 per cell]

Output
Crystal system: tetragonal
N(E_F), states/eV per atom: 0.6939
VASP energy, eV/atom: -4.38



2.
VASP calculation (PBE-GGA) on MgTaPb after structural relaxation.

a b c (Å): 6.739 6.739 6.739
angles (deg): 90.00 90.00 90.00
Space group F-43m (No. 216)
Inequivalent atoms, fractional coordinates:
Mg 0.000 0.000 0.000 [4 per cell]
Ta 0.000 0.000 0.500 [4 per cell]
Pb 0.250 0.250 0.250 [4 per cell]

Output
Crystal system: cubic
N(E_F), states/eV per atom: 0.9972
VASP energy, eV/atom: -4.76